NiAg6F12 | the Alexandria database | PBE with a Hubbard U | optimized geometry; DFT total energy = -3.481 eV per atom; density of states at the Fermi level = 10.06 states/eV/cell
1.0
6.5411 0.2323 -1.1603
-1.4229 6.3887 -1.1603
0.1795 0.2323 6.6408
Ni Ag F
1 6 12
Direct
0.0000 0.0000 0.0000
0.1231 0.2912 0.5987
0.7088 0.4013 0.8769
0.4013 0.8769 0.7088
0.8769 0.7088 0.4013
0.2912 0.5987 0.1231
0.5987 0.1231 0.2912
0.4073 0.1698 0.5946
0.1698 0.5946 0.4073
0.5946 0.4073 0.1698
0.5927 0.8302 0.4054
0.8302 0.4054 0.5927
0.4054 0.5927 0.8302
0.0498 0.9032 0.7090
0.2910 0.9502 0.0968
0.0968 0.2910 0.9502
0.9502 0.0968 0.2910
0.7090 0.0498 0.9032
0.9032 0.7090 0.0498